{"formula": "CaNi2F8", "functional": "GGA+U", "state": "relaxed", "cell": [[6.650, 0.000, 0.000], [-3.325, 5.759, 0.000], [0.000, 0.000, 3.976]], "species": ["Ca", "Ni", "Ni", "F", "F", "F", "F", "F", "F", "F", "F"], "frac_coords": [[0.000, 0.000, 0.000], [0.333, 0.667, 0.288], [0.667, 0.333, 0.712], [0.176, 0.823, 0.262], [0.177, 0.353, 0.262], [0.333, 0.667, 0.770], [0.353, 0.176, 0.738], [0.647, 0.824, 0.262], [0.667, 0.333, 0.230], [0.823, 0.647, 0.738], [0.824, 0.177, 0.738]], "total_energy_ev_per_cell": -46.34, "crystal_system": "trigonal", "space_group": "P-3 (147)", "n_ef_per_ev_cell": 0.000, "mass_density_g_cm3": 3.37}